No. 1
A geometry-optimized Al2PCl structure. Source: the Alexandria database, functional PBE.

Geometry as CIF:
```
data_Al2PCl
_symmetry_space_group_name_H-M 'I -4 2 d'
_symmetry_Int_Tables_number 122
_symmetry_space_group_name_Hall 'I -4 2bw'
_cell_length_a 6.7394
_cell_length_b 6.7394
_cell_length_c 7.3338
_cell_angle_alpha 90.00
_cell_angle_beta 90.00
_cell_angle_gamma 90.00
loop_
_atom_site_label
_atom_site_fract_x
_atom_site_fract_y
_atom_site_fract_z
_atom_site_occupancy
Al1 0.2135 0.7500 0.1250 1
P1 0.0000 0.0000 0.0000 1
Cl1 0.0000 0.0000 0.5000 1
```

Results
- Energy above the lowest structure with this stoichiometry: 0.880 eV per formula unit
- Crystal system: tetragonal
- ΔE_f (raw): -0.0956 eV per atom

No. 2
A geometry-optimized ThBC structure. Source: the Alexandria database, functional PBE.

Geometry as CIF:
```
data_ThBC
_symmetry_space_group_name_H-M 'P 41 2 2'
_symmetry_Int_Tables_number 91
_cell_length_a 3.7817
_cell_length_b 3.7817
_cell_length_c 25.3259
_cell_angle_alpha 90.00
_cell_angle_beta 90.00
_cell_angle_gamma 90.00
loop_
_symmetry_equiv_pos_as_xyz
'x,y,z'
'-y,x,z+1/4'
'-x,-y,z+1/2'
'y,-x,z+3/4'
'x,-y,-z+1/2'
'-y,-x,-z+1/4'
'-x,y,-z'
'y,x,-z+3/4'
loop_
_atom_site_label
_atom_site_fract_x
_atom_site_fract_y
_atom_site_fract_z
_atom_site_occupancy
Th1 0.1904 0.3041 0.0705 1
B1 0.1995 0.3454 0.2271 1
C1 0.1887 0.3035 0.1682 1
```

Results
- Energy above the lowest structure with this stoichiometry: 0.000 eV per formula unit
- Crystal system: tetragonal

No. 3
A geometry-optimized Tl4SbPb4 structure. Source: the Alexandria database, functional PBE.

Geometry as CIF:
```
data_Tl4SbPb4
_symmetry_space_group_name_H-M 'I 4/m m m'
_symmetry_Int_Tables_number 139
_symmetry_space_group_name_Hall '-I 4 2'
_cell_length_a 10.5674
_cell_length_b 10.5674
_cell_length_c 5.0478
_cell_angle_alpha 90.00
_cell_angle_beta 90.00
_cell_angle_gamma 90.00
loop_
_atom_site_label
_atom_site_fract_x
_atom_site_fract_y
_atom_site_fract_z
_atom_site_occupancy
Tl1 0.0000 0.3282 0.0000 1
Sb1 0.0000 0.0000 0.0000 1
Pb1 0.1614 0.1614 0.5000 1
```

Results
- Crystal system: tetragonal
- ΔE_f (raw): 0.0005 eV per atom

No. 4
A geometry-optimized ErReSi2 structure. Source: the Alexandria database, functional PBE.

Geometry as CIF:
```
data_ErReSi2
_symmetry_space_group_name_H-M 'P n m a'
_symmetry_Int_Tables_number 62
_cell_length_a 7.1380
_cell_length_b 3.9651
_cell_length_c 9.8819
_cell_angle_alpha 90.00
_cell_angle_beta 90.00
_cell_angle_gamma 90.00
loop_
_symmetry_equiv_pos_as_xyz
'x,y,z'
'-x,-y,-z'
'-x+1/2,-y,z+1/2'
'x+1/2,y,-z+1/2'
'x+1/2,-y+1/2,-z+1/2'
'-x+1/2,y+1/2,z+1/2'
'-x,y+1/2,-z'
'x,-y+1/2,z'
loop_
_atom_site_label
_atom_site_fract_x
_atom_site_fract_y
_atom_site_fract_z
_atom_site_occupancy
Er1 0.1460 0.2500 0.1303 1
Re1 0.0174 0.7500 0.3972 1
Si1 0.1516 0.2500 0.8119 1
Si2 0.2226 0.2500 0.4290 1
```

Results
- Crystal system: orthorhombic
- ΔE_f (raw): -0.5659 eV per atom

No. 5
A geometry-optimized Tb2ZnP3Rh4 structure. Source: the Alexandria database, functional PBE.

Geometry as CIF:
```
data_Tb2ZnP3Rh4
_symmetry_space_group_name_H-M 'P -4 m 2'
_symmetry_Int_Tables_number 115
_cell_length_a 4.0467
_cell_length_b 4.0467
_cell_length_c 10.0052
_cell_angle_alpha 90.00
_cell_angle_beta 90.00
_cell_angle_gamma 90.00
loop_
_symmetry_equiv_pos_as_xyz
'x,y,z'
'y,-x,-z'
'-x,-y,z'
'-y,x,-z'
'-x,y,z'
'-y,-x,-z'
'x,-y,z'
'y,x,-z'
loop_
_atom_site_label
_atom_site_fract_x
_atom_site_fract_y
_atom_site_fract_z
_atom_site_occupancy
Tb1 0.0000 0.5000 0.2489 1
Zn1 0.5000 0.5000 0.0000 1
P1 0.0000 0.0000 0.0000 1
P2 0.0000 0.5000 0.6351 1
Rh1 0.0000 0.0000 0.5000 1
Rh2 0.0000 0.5000 0.8619 1
Rh3 0.5000 0.5000 0.5000 1
```

Results
- Crystal system: tetragonal

No. 6
A geometry-optimized Sc2NbTl structure. Source: the Alexandria database, functional PBE.

Geometry as CIF:
```
data_Sc2NbTl
_symmetry_space_group_name_H-M 'P 4/m m m'
_symmetry_Int_Tables_number 123
_symmetry_space_group_name_Hall '-P 4 2'
_cell_length_a 4.4712
_cell_length_b 4.4712
_cell_length_c 4.2490
_cell_angle_alpha 90.00
_cell_angle_beta 90.00
_cell_angle_gamma 90.00
loop_
_atom_site_label
_atom_site_fract_x
_atom_site_fract_y
_atom_site_fract_z
_atom_site_occupancy
Sc1 0.0000 0.5000 0.0000 1
Nb1 0.0000 0.0000 0.5000 1
Tl1 0.5000 0.5000 0.5000 1
```

Results
- Energy above the lowest structure with this stoichiometry: 0.083 eV per formula unit
- Crystal system: tetragonal

No. 7
A geometry-optimized Rb3Pm2DyS6 structure. Source: the Alexandria database, functional PBE.

Geometry as CIF:
```
data_Rb3Pm2DyS6
_symmetry_space_group_name_H-M 'C 1 2/m 1'
_symmetry_Int_Tables_number 12
_cell_length_a 7.1978
_cell_length_b 12.4670
_cell_length_c 8.0721
_cell_angle_alpha 90.00
_cell_angle_beta 107.30
_cell_angle_gamma 90.00
loop_
_symmetry_equiv_pos_as_xyz
'x,y,z'
'-x,-y,-z'
'-x,y,-z'
'x,-y,z'
'x+1/2,y+1/2,z'
'-x+1/2,-y+1/2,-z'
'-x+1/2,y+1/2,-z'
'x+1/2,-y+1/2,z'
loop_
_atom_site_label
_atom_site_fract_x
_atom_site_fract_y
_atom_site_fract_z
_atom_site_occupancy
Rb1 0.0000 0.0000 0.0000 1
Rb2 0.0000 0.3326 0.0000 1
Pm1 0.0000 0.1666 0.5000 1
Dy1 0.0000 0.5000 0.5000 1
S1 0.2283 0.3366 0.6946 1
S2 0.2381 0.0000 0.6948 1
```

Results
- Crystal system: monoclinic
- ΔE_f (raw): -1.8401 eV per atom

No. 8
A geometry-optimized Tb2Pm3Nd6Mg structure. Source: the Alexandria database, functional PBE.

Geometry as CIF:
```
data_Tb2Pm3Nd6Mg
_symmetry_space_group_name_H-M 'C 1 2/m 1'
_symmetry_Int_Tables_number 12
_cell_length_a 6.2894
_cell_length_b 10.9090
_cell_length_c 11.9258
_cell_angle_alpha 90.00
_cell_angle_beta 100.20
_cell_angle_gamma 90.00
loop_
_symmetry_equiv_pos_as_xyz
'x,y,z'
'-x,-y,-z'
'-x,y,-z'
'x,-y,z'
'x+1/2,y+1/2,z'
'-x+1/2,-y+1/2,-z'
'-x+1/2,y+1/2,-z'
'x+1/2,-y+1/2,z'
loop_
_atom_site_label
_atom_site_fract_x
_atom_site_fract_y
_atom_site_fract_z
_atom_site_occupancy
Tb1 0.0000 0.1667 0.0000 1
Pm1 0.0000 0.0000 0.5000 1
Pm2 0.0000 0.3332 0.5000 1
Nd1 0.2465 0.3341 0.2456 1
Nd2 0.2493 0.0000 0.2472 1
Mg1 0.0000 0.5000 0.0000 1
```

Results
- Crystal system: monoclinic

no.,E_tot (eV/atom),DOS at the Fermi energy (states/eV/cell)
1,-3.781,5.2
2,-8.244,9.8
3,-3.157,8.6
4,-7.530,9.2
5,-6.625,4.2
6,-6.290,4.1
7,-5.321,0.0
8,-4.454,29.1